# SrV2Te

Crystalline SrV2Te at its relaxed geometry (PBE, Alexandria).

Formation energy (no corrections) in eV per atom: 0.37
Theoretical density in g cm⁻³: 4.9
Total energy in eV per atom: -5.39

a = 10.3836 Å, b = 10.3836 Å, c = 10.3836 Å
α = 154.08°, β = 154.08°, γ = 36.98°
Last column: nearest neighbours and their distance in Å.
Fractional coordinates of all 8 atoms:
Sr 0.3750 0.6250 0.7500  4 Te 3.29, 8 V 3.58
Sr 0.6250 0.3750 0.2500  4 Te 3.29, 8 V 3.58
V 0.0000 0.0000 0.0000  2 V 2.33
V 0.0000 0.0000 0.5000  2 V 2.33
V 0.0000 0.5000 0.0000  2 V 2.33
V 0.5000 0.0000 0.5000  2 V 2.33
Te 0.1250 0.8750 0.2500  4 V 2.72
Te 0.8750 0.1250 0.7500  4 V 2.72

# SrVTe3

Crystalline SrVTe3 at its relaxed geometry (PBE, Alexandria).

Formation energy (no corrections) in eV per atom: -0.52
Theoretical density in g cm⁻³: 5.5
Total energy in eV per atom: -4.57
Energy above the most stable polymorph in this dataset in meV per atom: 0

a = 5.3887 Å, b = 5.3887 Å, c = 5.3887 Å
α = 90.00°, β = 90.00°, γ = 90.00°
Last column: nearest neighbours and their distance in Å.
Fractional coordinates of all 5 atoms:
Sr 0.0000 0.0000 0.0000  12 Te 3.81
V 0.5000 0.5000 0.5000  6 Te 2.69
Te 0.0000 0.5000 0.5000  2 V 2.69
Te 0.5000 0.0000 0.5000  2 V 2.69
Te 0.5000 0.5000 0.0000  2 V 2.69

# SrV3Te

Crystalline SrV3Te at its relaxed geometry (PBE, Alexandria).

Formation energy (no corrections) in eV per atom: 2.31
Theoretical density in g cm⁻³: 5.8
Total energy in eV per atom: -4.13
Energy above the most stable polymorph in this dataset in meV per atom: 1309

a = 4.7245 Å, b = 4.7245 Å, c = 4.7245 Å
α = 90.00°, β = 90.00°, γ = 90.00°
Last column: nearest neighbours and their distance in Å.
Fractional coordinates of all 5 atoms:
Sr 0.0000 0.0000 0.0000  6 V 2.36
V 0.0000 0.0000 0.5000  2 Sr 2.36
V 0.0000 0.5000 0.0000  2 Sr 2.36
V 0.5000 0.0000 0.0000  2 Sr 2.36
Te 0.5000 0.5000 0.5000  12 V 3.34

# SrV2Te2

Crystalline SrV2Te2 at its relaxed geometry (PBE, Alexandria).

Formation energy (no corrections) in eV per atom: -0.46
Theoretical density in g cm⁻³: 6.3
Total energy in eV per atom: -5.70
Energy above the most stable polymorph in this dataset in meV per atom: 0

a = 8.1577 Å, b = 8.1577 Å, c = 8.1577 Å
α = 152.27°, β = 152.27°, γ = 39.62°
Last column: nearest neighbours and their distance in Å.
Fractional coordinates of all 5 atoms:
Sr 0.0000 0.0000 0.0000  8 Te 3.39
V 0.2500 0.7500 0.5000  4 Te 2.71, 4 V 2.76
V 0.7500 0.2500 0.5000  4 Te 2.71, 4 V 2.76
Te 0.3722 0.3722 0.0000  4 V 2.71
Te 0.6278 0.6278 0.0000  4 V 2.71

# SrV3Te

Crystalline SrV3Te at its relaxed geometry (PBE, Alexandria).

Formation energy (no corrections) in eV per atom: 1.00
Theoretical density in g cm⁻³: 4.5
Total energy in eV per atom: -5.43
Energy above the most stable polymorph in this dataset in meV per atom: 0

a = 5.1498 Å, b = 5.1498 Å, c = 5.1498 Å
α = 90.00°, β = 90.00°, γ = 90.00°
Last column: nearest neighbours and their distance in Å.
Fractional coordinates of all 5 atoms:
Sr 0.0000 0.0000 0.0000  12 V 3.64
V 0.0000 0.5000 0.5000  2 Te 2.57
V 0.5000 0.0000 0.5000  2 Te 2.57
V 0.5000 0.5000 0.0000  2 Te 2.57
Te 0.5000 0.5000 0.5000  6 V 2.57

# Sr3VTe

Crystalline Sr3VTe at its relaxed geometry (PBE, Alexandria).

Formation energy (no corrections) in eV per atom: 0.16
Theoretical density in g cm⁻³: 3.0
Total energy in eV per atom: -3.31
Energy above the most stable polymorph in this dataset in meV per atom: 0

a = 6.2212 Å, b = 6.2212 Å, c = 6.2212 Å
α = 90.00°, β = 90.00°, γ = 90.00°
Last column: nearest neighbours and their distance in Å.
Fractional coordinates of all 5 atoms:
Sr 0.0000 0.0000 0.5000  2 Te 3.11
Sr 0.0000 0.5000 0.0000  2 Te 3.11
Sr 0.5000 0.0000 0.0000  2 Te 3.11
V 0.5000 0.5000 0.5000  12 Sr 4.40
Te 0.0000 0.0000 0.0000  6 Sr 3.11

# SrTe2W

Crystalline SrTe2W at its relaxed geometry (PBE, Alexandria).

Formation energy (no corrections) in eV per atom: 0.10
Theoretical density in g cm⁻³: 7.7
Total energy in eV per atom: -5.13
Energy above the most stable polymorph in this dataset in meV per atom: 305

a = 3.8491 Å, b = 4.3110 Å, c = 6.8469 Å
α = 90.00°, β = 94.97°, γ = 90.00°
Last column: nearest neighbours and their distance in Å.
Fractional coordinates of all 4 atoms:
Sr 0.0000 0.0000 0.0000  8 Te 3.30-3.57
Te 0.3968 0.5000 0.7293  2 W 2.72
Te 0.6032 0.5000 0.2707  2 W 2.72
W 0.5000 0.0000 0.5000  4 Te 2.72

# Sr2TeW

Crystalline Sr2TeW at its relaxed geometry (PBE, Alexandria).

Formation energy (no corrections) in eV per atom: 0.30
Theoretical density in g cm⁻³: 6.5
Total energy in eV per atom: -4.57

a = 3.6518 Å, b = 3.6518 Å, c = 9.3704 Å
α = 90.00°, β = 90.00°, γ = 90.00°
Last column: nearest neighbours and their distance in Å.
Fractional coordinates of all 4 atoms:
Sr 0.0000 0.0000 0.0000  1 Te 3.41, 4 W 3.46, 4 Sr 3.65
Sr 0.5000 0.5000 0.3919  1 W 3.40, 4 Te 3.45, 4 Sr 3.65
Te 0.0000 0.0000 0.6356  4 W 2.81
W 0.5000 0.5000 0.7548  4 Te 2.81

# SrTe2W

Crystalline SrTe2W at its relaxed geometry (PBE, Alexandria).

Formation energy (no corrections) in eV per atom: 0.00
Theoretical density in g cm⁻³: 7.3
Total energy in eV per atom: -5.23
Energy above the most stable polymorph in this dataset in meV per atom: 206

a = 5.9785 Å, b = 5.9785 Å, c = 5.9785 Å
α = 139.94°, β = 116.63°, γ = 77.67°
Last column: nearest neighbours and their distance in Å.
Fractional coordinates of all 4 atoms:
Sr 0.0000 0.0000 0.0000  8 Te 3.51-3.62, 4 W 3.75
Te 0.3060 0.8060 0.5000  2 W 2.73
Te 0.6940 0.1940 0.5000  2 W 2.73
W 0.5000 0.5000 0.0000  4 Te 2.73

# SrTeW3

Crystalline SrTeW3 at its relaxed geometry (PBE, Alexandria).

Formation energy (no corrections) in eV per atom: 2.04
Theoretical density in g cm⁻³: 10.1
Total energy in eV per atom: -6.70
Energy above the most stable polymorph in this dataset in meV per atom: 0

a = 5.0130 Å, b = 5.0130 Å, c = 5.0130 Å
α = 90.00°, β = 90.00°, γ = 90.00°
Last column: nearest neighbours and their distance in Å.
Fractional coordinates of all 5 atoms:
Sr 0.0000 0.0000 0.0000  12 W 3.54
Te 0.5000 0.5000 0.5000  6 W 2.51
W 0.0000 0.5000 0.5000  2 Te 2.51
W 0.5000 0.0000 0.5000  2 Te 2.51
W 0.5000 0.5000 0.0000  2 Te 2.51

# SrTe2W

Crystalline SrTe2W at its relaxed geometry (PBE, Alexandria).

Formation energy (no corrections) in eV per atom: 0.78
Theoretical density in g cm⁻³: 7.7
Total energy in eV per atom: -4.45
Energy above the most stable polymorph in this dataset in meV per atom: 982

a = 5.4375 Å, b = 5.4375 Å, c = 5.4375 Å
α = 60.00°, β = 60.00°, γ = 60.00°
Last column: nearest neighbours and their distance in Å.
Fractional coordinates of all 4 atoms:
Sr 0.0000 0.0000 0.0000  4 W 3.33, 4 Te 3.33
Te 0.2500 0.2500 0.2500  4 Te 3.33, 4 Sr 3.33
Te 0.5000 0.5000 0.5000  4 W 3.33, 4 Te 3.33
W 0.7500 0.7500 0.7500  4 Te 3.33, 4 Sr 3.33

# Sr2TeW

Crystalline Sr2TeW at its relaxed geometry (PBE, Alexandria).

Formation energy (no corrections) in eV per atom: 0.50
Theoretical density in g cm⁻³: 6.3
Total energy in eV per atom: -4.36

a = 6.6755 Å, b = 6.6755 Å, c = 6.6755 Å
α = 138.80°, β = 138.80°, γ = 59.69°
Last column: nearest neighbours and their distance in Å.
Fractional coordinates of all 4 atoms:
Sr 0.0000 0.0000 0.0000  4 W 3.32
Sr 0.7500 0.2500 0.5000  4 Te 3.32
Te 0.2500 0.7500 0.5000  4 Sr 3.32
W 0.5000 0.5000 0.0000  4 Sr 3.32